1.
Density functional theory data (PBE) for a relaxed structure of AlInCl2.

Cell lengths 5.9381, 3.4556, 5.9998 Å; angles 90.00, 101.83, 90.00 degrees
Sites, in units of the cell vectors:
1 Al 0.0000 0.0000 0.0000
2 In 0.6455 0.5000 0.6586
3 Cl 0.0054 0.5000 0.2841
4 Cl 0.3726 0.0000 0.9926

Summary:
E_form (uncorrected) in eV per atom: -0.72
Calculated total energy in Ha/atom: -0.1200
Calculated volume in Å³ per cell: 120.50

***

2.
Density functional theory data (PBE) for a relaxed structure of AlInCl3.

Cell lengths 5.3856, 5.3856, 5.3856 Å; angles 90.00, 90.00, 90.00 degrees
Sites, in units of the cell vectors:
1 Al 0.0000 0.0000 0.0000
2 In 0.5000 0.5000 0.5000
3 Cl 0.0000 0.5000 0.5000
4 Cl 0.5000 0.0000 0.5000
5 Cl 0.5000 0.5000 0.0000

Summary:
E_form (uncorrected) in eV per atom: -0.56
Calculated total energy in Ha/atom: -0.1088
Calculated volume in Å³ per cell: 156.20

***

3.
Density functional theory data (PBE) for a relaxed structure of AlInCl3.

Cell lengths 5.0723, 5.0723, 5.0723 Å; angles 90.00, 90.00, 90.00 degrees
Sites, in units of the cell vectors:
1 Al 0.0000 0.0000 0.0000
2 In 0.5000 0.5000 0.5000
3 Cl 0.0000 0.0000 0.5000
4 Cl 0.0000 0.5000 0.0000
5 Cl 0.5000 0.0000 0.0000

Summary:
E_form (uncorrected) in eV per atom: -0.90
Calculated total energy in Ha/atom: -0.1215
Calculated volume in Å³ per cell: 130.50

***

What did the first record say?
Density functional theory data (PBE) for a relaxed structure of AlInCl2.

Cell lengths 5.9381, 3.4556, 5.9998 Å; angles 90.00, 101.83, 90.00 degrees
Sites, in units of the cell vectors:
1 Al 0.0000 0.0000 0.0000
2 In 0.6455 0.5000 0.6586
3 Cl 0.0054 0.5000 0.2841
4 Cl 0.3726 0.0000 0.9926

Summary:
E_form (uncorrected) in eV per atom: -0.72
Calculated total energy in Ha/atom: -0.1200
Calculated volume in Å³ per cell: 120.50

***

- Among the records above, which one has the lowest calculated total energy?
  number 3

***

- Look up the calculated total energy of the first one.
  -0.1200 Ha/atom

***

- Among the records above, which one has the highest calculated volume?
  number 2